# 1
DFT (PBE) results for a relaxed structure of KGa2Si.

abc: 8.0696 8.0696 6.5109
angles: 90.00 90.00 90.00
Closest atoms and distances in Å follow each position.
Fractional positions:
K1 0.0000 0.0000 0.0000  2 Si 3.26, 8 Ga 3.43-3.49
K2 0.0000 0.5000 0.2500  2 Si 3.26, 8 Ga 3.43-3.49
K3 0.5000 0.0000 0.7500  2 Si 3.26, 8 Ga 3.43-3.49
K4 0.5000 0.5000 0.5000  2 Si 3.26, 8 Ga 3.43-3.49
Ga1 0.1616 0.2500 0.6250  2 Si 2.54
Ga2 0.2500 0.6616 0.8750  2 Si 2.54
Ga3 0.2500 0.8384 0.3750  2 Si 2.54
Ga4 0.3384 0.2500 0.1250  2 Si 2.54
Ga5 0.6616 0.7500 0.1250  2 Si 2.54
Ga6 0.7500 0.1616 0.3750  2 Si 2.54
Ga7 0.7500 0.3384 0.8750  2 Si 2.54
Ga8 0.8384 0.7500 0.6250  2 Si 2.54
Si1 0.0000 0.0000 0.5000  4 Ga 2.54
Si2 0.0000 0.5000 0.7500  4 Ga 2.54
Si3 0.5000 0.0000 0.2500  4 Ga 2.54
Si4 0.5000 0.5000 0.0000  4 Ga 2.54

E	-2.945	eV/atom
spin magnetization	0.00	Bohr magnetons per cell
V	26.5	Å³ per atom
energy relative to the elements, uncorrected	0.79	eV/f.u.

# 2
DFT (PBE) results for a relaxed structure of KGa2Si.

abc: 4.0843 4.0843 26.2640
angles: 90.00 90.00 120.00
Closest atoms and distances in Å follow each position.
Fractional positions:
K1 0.0000 0.0000 0.0000  2 Ga 3.30
K2 0.3333 0.6667 0.6667  2 Ga 3.30
K3 0.6667 0.3333 0.3333  2 Ga 3.30
Ga1 0.0000 0.0000 0.1257  3 Si 2.59
Ga2 0.0000 0.0000 0.8743  3 Si 2.59
Ga3 0.3333 0.6667 0.5409  3 Si 2.59
Ga4 0.3333 0.6667 0.7924  3 Si 2.59
Ga5 0.6667 0.3333 0.2076  3 Si 2.59
Ga6 0.6667 0.3333 0.4591  3 Si 2.59
Si1 0.0000 0.0000 0.5000  6 Ga 2.59
Si2 0.3333 0.6667 0.1667  6 Ga 2.59
Si3 0.6667 0.3333 0.8333  6 Ga 2.59

E	-2.943	eV/atom
spin magnetization	0.00	Bohr magnetons per cell
V	31.6	Å³ per atom
energy relative to the elements, uncorrected	0.80	eV/f.u.

# 3
DFT (PBE) results for a relaxed structure of KGa2Si2.

abc: 8.2879 8.2879 3.0685
angles: 90.00 90.00 90.00
Closest atoms and distances in Å follow each position.
Fractional positions:
K1 0.0000 0.0000 0.0000  2 K 3.07, 4 Si 3.32
K2 0.5000 0.5000 0.0000  2 K 3.07, 4 Si 3.32
Ga1 0.1537 0.3463 0.5000  4 Si 2.73
Ga2 0.3463 0.8463 0.5000  4 Si 2.73
Ga3 0.6537 0.1537 0.5000  4 Si 2.73
Ga4 0.8463 0.6537 0.5000  4 Si 2.73
Si1 0.1162 0.6162 0.0000  1 Si 2.72, 4 Ga 2.73
Si2 0.3838 0.1162 0.0000  1 Si 2.72, 4 Ga 2.73
Si3 0.6162 0.8838 0.0000  1 Si 2.72, 4 Ga 2.73
Si4 0.8838 0.3838 0.0000  1 Si 2.72, 4 Ga 2.73

E	-3.372	eV/atom
spin magnetization	0.00	Bohr magnetons per cell
V	21.1	Å³ per atom
energy relative to the elements, uncorrected	1.14	eV/f.u.

# 4
DFT (PBE) results for a relaxed structure of KGa2Si2.

abc: 4.4510 4.4510 10.6469
angles: 90.00 90.00 90.00
Closest atoms and distances in Å follow each position.
Fractional positions:
K1 0.0000 0.0000 0.0000  8 Ga 3.41, 8 Si 3.47
K2 0.5000 0.5000 0.5000  8 Ga 3.41, 8 Si 3.47
Ga1 0.0000 0.0000 0.3777  1 Ga 2.60, 4 Si 2.61
Ga2 0.0000 0.0000 0.6223  1 Ga 2.60, 4 Si 2.61
Ga3 0.5000 0.5000 0.1223  1 Ga 2.60, 4 Si 2.61
Ga4 0.5000 0.5000 0.8777  1 Ga 2.60, 4 Si 2.61
Si1 0.0000 0.5000 0.2500  4 Ga 2.61
Si2 0.0000 0.5000 0.7500  4 Ga 2.61
Si3 0.5000 0.0000 0.2500  4 Ga 2.61
Si4 0.5000 0.0000 0.7500  4 Ga 2.61

E	-3.565	eV/atom
spin magnetization	0.00	Bohr magnetons per cell
V	21.1	Å³ per atom
energy relative to the elements, uncorrected	0.17	eV/f.u.

# 5
DFT (PBE) results for a relaxed structure of KGa2Si.

abc: 5.1679 8.6226 5.3879
angles: 90.00 90.00 90.00
Closest atoms and distances in Å follow each position.
Fractional positions:
K1 0.0000 0.0000 0.0000  8 Ga 3.68, 4 Si 3.73
K2 0.5000 0.5000 0.0000  8 Ga 3.68, 4 Si 3.73
Ga1 0.2500 0.2500 0.5000  2 Si 2.51, 2 Ga 2.58
Ga2 0.2500 0.7500 0.5000  2 Si 2.51, 2 Ga 2.58
Ga3 0.7500 0.2500 0.5000  2 Si 2.51, 2 Ga 2.58
Ga4 0.7500 0.7500 0.5000  2 Si 2.51, 2 Ga 2.58
Si1 0.0000 0.5000 0.5000  4 Ga 2.51
Si2 0.5000 0.0000 0.5000  4 Ga 2.51

E	-2.988	eV/atom
spin magnetization	0.00	Bohr magnetons per cell
V	30.0	Å³ per atom
energy relative to the elements, uncorrected	0.62	eV/f.u.

# 6
DFT (PBE) results for a relaxed structure of K3GaSi.

abc: 6.4312 6.4312 6.4312
angles: 90.00 90.00 90.00
Closest atoms and distances in Å follow each position.
Fractional positions:
K1 0.0000 0.0000 0.5000  2 Si 3.22
K2 0.0000 0.5000 0.0000  2 Si 3.22
K3 0.5000 0.0000 0.0000  2 Si 3.22
Ga1 0.5000 0.5000 0.5000  12 K 4.55
Si1 0.0000 0.0000 0.0000  6 K 3.22

E	-1.784	eV/atom
spin magnetization	0.00	Bohr magnetons per cell
V	53.2	Å³ per atom
energy relative to the elements, uncorrected	2.82	eV/f.u.

# 7
DFT (PBE) results for a relaxed structure of KGa2Si2.

abc: 8.3239 8.3239 2.9775
angles: 90.00 90.00 90.00
Closest atoms and distances in Å follow each position.
Fractional positions:
K1 0.0000 0.0000 0.0000  2 K 2.98, 4 Ga 3.25
K2 0.5000 0.5000 0.0000  2 K 2.98, 4 Ga 3.25
Ga1 0.1339 0.3661 0.0000  6 Si 2.75-3.01, 2 Ga 2.98
Ga2 0.3661 0.8661 0.0000  6 Si 2.75-3.01, 2 Ga 2.98
Ga3 0.6339 0.1339 0.0000  6 Si 2.75-3.01, 2 Ga 2.98
Ga4 0.8661 0.6339 0.0000  6 Si 2.75-3.01, 2 Ga 2.98
Si1 0.1442 0.6442 0.5000  6 Ga 2.75-3.01, 2 Si 2.98
Si2 0.3558 0.1442 0.5000  6 Ga 2.75-3.01, 2 Si 2.98
Si3 0.6442 0.8558 0.5000  6 Ga 2.75-3.01, 2 Si 2.98
Si4 0.8558 0.3558 0.5000  6 Ga 2.75-3.01, 2 Si 2.98

E	-3.359	eV/atom
spin magnetization	0.00	Bohr magnetons per cell
V	20.6	Å³ per atom
energy relative to the elements, uncorrected	1.20	eV/f.u.

# 8
DFT (PBE) results for a relaxed structure of K2Ga7Si.

abc: 4.4359 4.4359 11.2159
angles: 90.00 90.00 90.00
Closest atoms and distances in Å follow each position.
Fractional positions:
K1 0.0000 0.5000 0.2474  14 Ga 3.39-3.60, 2 Si 3.55
K2 0.5000 0.0000 0.7526  14 Ga 3.39-3.60, 2 Si 3.55
Ga1 0.0000 0.0000 0.0000  4 Ga 2.67
Ga2 0.0000 0.0000 0.5000  4 Ga 2.69
Ga3 0.0000 0.5000 0.6353  5 Ga 2.61-2.69
Ga4 0.0000 0.5000 0.8681  3 Ga 2.61-2.67, 2 Si 2.67
Ga5 0.5000 0.0000 0.1319  3 Ga 2.61-2.67, 2 Si 2.67
Ga6 0.5000 0.0000 0.3647  5 Ga 2.61-2.69
Ga7 0.5000 0.5000 0.5000  4 Ga 2.69
Si1 0.5000 0.5000 0.0000  4 Ga 2.67

E	-2.989	eV/atom
spin magnetization	0.00	Bohr magnetons per cell
V	22.1	Å³ per atom
energy relative to the elements, uncorrected	-1.09	eV/f.u.

# 9
DFT (PBE) results for a relaxed structure of KGa2Si2.

abc: 4.6149 4.6149 9.9092
angles: 90.00 90.00 90.00
Closest atoms and distances in Å follow each position.
Fractional positions:
K1 0.0000 0.0000 0.0000  8 Ga 3.39, 10 Si 3.48-3.74
K2 0.5000 0.5000 0.5000  8 Ga 3.39, 10 Si 3.48-3.74
Ga1 0.0000 0.5000 0.2500  4 Si 2.63
Ga2 0.0000 0.5000 0.7500  4 Si 2.63
Ga3 0.5000 0.0000 0.2500  4 Si 2.63
Ga4 0.5000 0.0000 0.7500  4 Si 2.63
Si1 0.0000 0.0000 0.3774  1 Si 2.43, 4 Ga 2.63
Si2 0.0000 0.0000 0.6226  1 Si 2.43, 4 Ga 2.63
Si3 0.5000 0.5000 0.1226  1 Si 2.43, 4 Ga 2.63
Si4 0.5000 0.5000 0.8774  1 Si 2.43, 4 Ga 2.63

E	-3.635	eV/atom
spin magnetization	0.00	Bohr magnetons per cell
V	21.1	Å³ per atom
energy relative to the elements, uncorrected	-0.18	eV/f.u.

# 10
DFT (PBE) results for a relaxed structure of KGa3Si.

abc: 5.1028 5.1028 5.1028
angles: 90.00 90.00 90.00
Closest atoms and distances in Å follow each position.
Fractional positions:
K1 0.0000 0.0000 0.0000  12 Ga 3.61
Ga1 0.0000 0.5000 0.5000  2 Si 2.55
Ga2 0.5000 0.0000 0.5000  2 Si 2.55
Ga3 0.5000 0.5000 0.0000  2 Si 2.55
Si1 0.5000 0.5000 0.5000  6 Ga 2.55

E	-2.872	eV/atom
spin magnetization	0.00	Bohr magnetons per cell
V	26.6	Å³ per atom
energy relative to the elements, uncorrected	1.24	eV/f.u.

# 11
DFT (PBE) results for a relaxed structure of KTl2GaSi.

abc: 5.5228 5.5228 5.1241
angles: 90.00 90.00 90.00
Closest atoms and distances in Å follow each position.
Fractional positions:
K1 0.0000 0.0000 0.0000  8 Tl 3.77, 4 Ga 3.91
Tl1 0.0000 0.5000 0.5000  2 Si 2.76
Tl2 0.5000 0.0000 0.5000  2 Si 2.76
Ga1 0.5000 0.5000 0.0000  2 Si 2.56
Si1 0.5000 0.5000 0.5000  2 Ga 2.56, 4 Tl 2.76

E	-2.645	eV/atom
spin magnetization	0.00	Bohr magnetons per cell
V	31.3	Å³ per atom
energy relative to the elements, uncorrected	1.06	eV/f.u.

# 12
DFT (PBE) results for a relaxed structure of K3Sm3GaTe8.

abc: 8.8531 8.8531 9.9701
angles: 116.40 116.40 60.02
Closest atoms and distances in Å follow each position.
Fractional positions:
K1 0.0000 0.0000 0.0000  6 Te 3.53-3.57
K2 0.0000 0.5000 0.0000  6 Te 3.54-3.57
K3 0.5000 0.0000 0.0000  6 Te 3.54-3.57
Sm1 0.0000 0.5000 0.5000  6 Te 3.14-3.15
Sm2 0.5000 0.0000 0.5000  6 Te 3.14-3.15
Sm3 0.5000 0.5000 0.5000  6 Te 3.14
Ga1 0.0000 0.0000 0.5000  6 Te 2.92-2.96
Te1 0.2215 0.2215 0.6988  1 Ga 2.92, 2 Sm 3.15
Te2 0.2241 0.7524 0.7006  1 Ga 2.96, 2 Sm 3.14
Te3 0.2476 0.7759 0.2994  1 Ga 2.96, 2 Sm 3.14
Te4 0.2618 0.2618 0.2858  3 Sm 3.14
Te5 0.7382 0.7382 0.7142  3 Sm 3.14
Te6 0.7524 0.2241 0.7006  1 Ga 2.96, 2 Sm 3.14
Te7 0.7759 0.2476 0.2994  1 Ga 2.96, 2 Sm 3.14
Te8 0.7785 0.7785 0.3012  1 Ga 2.92, 2 Sm 3.15

E	-4.103	eV/atom
spin magnetization	0.00	Bohr magnetons per cell
V	38.7	Å³ per atom
energy relative to the elements, uncorrected	-15.94	eV/f.u.